VASP calculation (PBE) on an optimized crystal structure of YBeCrBr2.

Values from the calculation:
- Calculated density: 3.0 g cm⁻³
- Energy relative to the elements, uncorrected: 0.34 eV per atom
- Space-group type: No. 123
- Size of the total moment: 1.203 μB per atom

The structure in POSCAR format:
```
YBeCrBr2
1.0
5.5120 0.0000 0.0000
0.0000 5.5120 0.0000
0.0000 0.0000 5.7145
Y Be Cr Br
1 1 1 2
Direct
0.0000 0.0000 0.0000
0.0000 0.0000 0.5000
0.5000 0.5000 0.5000
0.0000 0.5000 0.0000
0.5000 0.0000 0.0000
```

VASP calculation (PBE) on an optimized crystal structure of ZrBeCrBr2.

Values from the calculation:
- Calculated density: 3.3 g cm⁻³
- Energy relative to the elements, uncorrected: 0.71 eV per atom
- Space-group type: No. 123
- Size of the total moment: 0.819 μB per atom

The structure in POSCAR format:
```
ZrBeCrBr2
1.0
5.2291 0.0000 0.0000
0.0000 5.2291 0.0000
0.0000 0.0000 5.6758
Zr Be Cr Br
1 1 1 2
Direct
0.0000 0.0000 0.0000
0.5000 0.5000 0.5000
0.0000 0.0000 0.5000
0.0000 0.5000 0.0000
0.5000 0.0000 0.0000
```

Question: Among the records above, which one has the highest size of the total moment?
Answer: YBeCrBr2